Entry 1:
P2OsSe after structural relaxation, computed with PBE.

Cell lengths 5.833, 5.833, 6.418 Å; angles 62.97, 62.97, 90.00 degrees
Element x y z (fractional)
Se1 0.500 0.500 0.000
Se2 0.250 0.750 0.500
Os1 0.000 0.000 0.000
Os2 0.750 0.250 0.500
P1 0.375 0.326 0.750
P2 0.674 0.125 0.250
P3 0.875 0.924 0.750
P4 0.076 0.625 0.250

Summary:
Calculated volume ... 20.91 Å³/atom
N(E_F) ... 0.79 states/eV/cell
Crystal system ... tetragonal
Raw formation energy ... 0.9 eV/f.u.

---

Entry 2:
CoHg3Sb after structural relaxation, computed with PBE.

Cell lengths 5.013, 5.013, 5.013 Å; angles 90.00, 90.00, 90.00 degrees
Element x y z (fractional)
Hg1 0.500 0.000 0.000
Hg2 0.000 0.000 0.500
Hg3 0.000 0.500 0.000
Co1 0.000 0.000 0.000
Sb1 0.500 0.500 0.500

Summary:
Calculated volume ... 25.19 Å³/atom
N(E_F) ... 7.52 states/eV/cell
Crystal system ... cubic
Raw formation energy ... 2.7 eV/f.u.

---

Entry 3:
BaFePd2Br after structural relaxation, computed with PBE.

Cell lengths 4.600, 6.464, 4.600 Å; angles 90.00, 90.00, 90.00 degrees
Element x y z (fractional)
Ba1 0.000 0.500 0.000
Fe1 0.000 0.000 0.000
Pd1 0.500 0.000 0.000
Pd2 0.000 0.000 0.500
Br1 0.500 0.500 0.500

Summary:
Calculated volume ... 27.36 Å³/atom
N(E_F) ... 7.07 states/eV/cell
Crystal system ... tetragonal
Raw formation energy ... 0.8 eV/f.u.

---

Entry 4:
RuRhW2 after structural relaxation, computed with PBE.

Cell lengths 2.784, 2.784, 7.763 Å; angles 90.00, 90.00, 89.97 degrees
Element x y z (fractional)
W1 0.000 0.000 0.996
W2 0.000 0.000 0.504
Ru1 0.500 0.500 0.750
Rh1 0.500 0.500 0.250

Summary:
Formation enthalpy at 0 K ... -0.07 eV per atom
Calculated volume ... 15.04 Å³/atom
N(E_F) ... 2.74 states/eV/cell
Crystal system ... tetragonal
Excess energy over the best structure of this formula in the dataset ... 0.011 eV/atom

---

Entry 5:
ScAl2Sb after structural relaxation, computed with PBE.

Cell lengths 4.751, 3.059, 5.719 Å; angles 90.04, 90.00, 90.00 degrees
Element x y z (fractional)
Al1 0.500 0.251 0.223
Al2 0.000 0.250 0.996
Sb1 0.000 0.249 0.511
Sc1 0.500 0.750 0.770

Summary:
Calculated volume ... 20.78 Å³/atom
N(E_F) ... 1.53 states/eV/cell
Crystal system ... monoclinic
Raw formation energy ... -1.0 eV/f.u.

---

Entry 6:
Tb6Nd3Sm2Er after structural relaxation, computed with PBE.

Cell lengths 6.235, 6.235, 11.903 Å; angles 95.00, 95.00, 119.98 degrees
Element x y z (fractional)
Nd1 0.167 0.833 0.500
Nd2 0.500 0.500 0.500
Nd3 0.833 0.167 0.500
Er1 0.000 0.000 0.000
Tb1 0.917 0.585 0.752
Tb2 0.250 0.250 0.752
Tb3 0.585 0.917 0.752
Tb4 0.415 0.083 0.248
Tb5 0.750 0.750 0.248
Tb6 0.083 0.415 0.248
Sm1 0.333 0.667 0.000
Sm2 0.667 0.333 0.000

Summary:
Formation enthalpy at 0 K ... 0.01 eV per atom
Calculated volume ... 32.89 Å³/atom
N(E_F) ... 15.18 states/eV/cell
Crystal system ... monoclinic